DFT (PBE-GGA) results for NaAc4Pb2 after structural relaxation.

formation energy	32	kJ/mol of formula units
magnetic moment	0.0	μB/f.u.
DOS(E_F)	1.04	states/eV/atom

The structure in CIF format:
```
data_NaAc4Pb2
_chemical_formula_sum 'Na2 Ac8 Pb4'
_space_group_name_H-M_alt 'I 4/m m m'
_space_group_IT_number 139
_space_group_name_Hall '-I 4 2'
_cell_length_a 6.2429
_cell_length_b 6.2429
_cell_length_c 14.6670
_cell_angle_alpha 90.00
_cell_angle_beta 90.00
_cell_angle_gamma 90.00
loop_
_atom_site_label
_atom_site_fract_x
_atom_site_fract_y
_atom_site_fract_z
Na1 0.0000 0.0000 0.0000
Ac1 0.0000 0.5000 0.0000
Ac2 0.0000 0.5000 0.2500
Pb1 0.0000 0.0000 0.3720
```



DFT (PBE-GGA) results for Na2Ac12Pb5 after structural relaxation.

formation energy	-161	kJ/mol of formula units
magnetic moment	0.0	μB/f.u.
DOS(E_F)	1.24	states/eV/atom

The structure in CIF format:
```
data_Na2Ac12Pb5
_chemical_formula_sum 'Na4 Ac24 Pb10'
_space_group_name_H-M_alt 'C 1 2/m 1'
_space_group_IT_number 12
_cell_length_a 18.3657
_cell_length_b 8.5185
_cell_length_c 10.4431
_cell_angle_alpha 90.00
_cell_angle_beta 95.09
_cell_angle_gamma 90.00
loop_
_space_group_symop_operation_xyz
'x,y,z'
'-x,-y,-z'
'-x,y,-z'
'x,-y,z'
'x+1/2,y+1/2,z'
'-x+1/2,-y+1/2,-z'
'-x+1/2,y+1/2,-z'
'x+1/2,-y+1/2,z'
loop_
_atom_site_label
_atom_site_fract_x
_atom_site_fract_y
_atom_site_fract_z
Na1 0.0000 0.1599 0.0000
Ac1 0.0228 0.0000 0.3158
Ac2 0.0278 0.5000 0.8243
Ac3 0.1428 0.2495 0.5831
Ac4 0.1760 0.2647 0.1293
Pb1 0.0000 0.5000 0.5000
Pb2 0.1572 0.0000 0.8635
Pb3 0.2132 0.0000 0.3706
```



DFT (PBE-GGA) results for NaAc2Pb3 after structural relaxation.

formation energy	-206	kJ/mol of formula units
magnetic moment	0.0	μB/f.u.
DOS(E_F)	0.67	states/eV/atom

The structure in CIF format:
```
data_NaAc2Pb3
_chemical_formula_sum 'Na1 Ac2 Pb3'
_space_group_name_H-M_alt 'P 4/m m m'
_space_group_IT_number 123
_space_group_name_Hall '-P 4 2'
_cell_length_a 3.9787
_cell_length_b 3.9787
_cell_length_c 12.5769
_cell_angle_alpha 90.00
_cell_angle_beta 90.00
_cell_angle_gamma 90.00
loop_
_atom_site_label
_atom_site_fract_x
_atom_site_fract_y
_atom_site_fract_z
Na1 0.0000 0.0000 0.0000
Ac1 0.0000 0.0000 0.3200
Pb1 0.5000 0.5000 0.1408
Pb2 0.5000 0.5000 0.5000
```



DFT (PBE-GGA) results for Na6Ac2Pb3 after structural relaxation.

formation energy	-154	kJ/mol of formula units
magnetic moment	0.0	μB/f.u.
DOS(E_F)	0.30	states/eV/atom

The structure in CIF format:
```
data_Na6Ac2Pb3
_chemical_formula_sum 'Na6 Ac2 Pb3'
_space_group_name_H-M_alt 'P -6 2 m'
_space_group_IT_number 189
_space_group_name_Hall 'P -6 -2'
_cell_length_a 9.6600
_cell_length_b 9.6600
_cell_length_c 4.5375
_cell_angle_alpha 90.00
_cell_angle_beta 90.00
_cell_angle_gamma 120.00
loop_
_atom_site_label
_atom_site_fract_x
_atom_site_fract_y
_atom_site_fract_z
Na1 0.0000 0.2025 0.0000
Na2 0.0000 0.7268 0.5000
Ac1 0.3333 0.6667 0.0000
Pb1 0.0000 0.4147 0.5000
```



DFT (PBE-GGA) results for Na3AcPb3 after structural relaxation.

formation energy	259	kJ/mol of formula units
offset from the most stable computed form	0.6201	eV per atom
magnetic moment	0.0	μB/f.u.
DOS(E_F)	0.77	states/eV/atom

The structure in CIF format:
```
data_Na3AcPb3
_chemical_formula_sum 'Na6 Ac2 Pb6'
_space_group_name_H-M_alt 'P m -3 n'
_space_group_IT_number 223
_space_group_name_Hall '-P 4n 2 3'
_cell_length_a 8.1007
_cell_length_b 8.1007
_cell_length_c 8.1007
_cell_angle_alpha 90.00
_cell_angle_beta 90.00
_cell_angle_gamma 90.00
loop_
_atom_site_label
_atom_site_fract_x
_atom_site_fract_y
_atom_site_fract_z
Na1 0.0000 0.2500 0.5000
Ac1 0.0000 0.0000 0.0000
Pb1 0.0000 0.5000 0.2500
```



DFT (PBE-GGA) results for Na2Ac3Pb7 after structural relaxation.

formation energy	-307	kJ/mol of formula units
magnetic moment	0.0	μB/f.u.
DOS(E_F)	0.42	states/eV/atom

The structure in CIF format:
```
data_Na2Ac3Pb7
_chemical_formula_sum 'Na2 Ac3 Pb7'
_space_group_name_H-M_alt 'P 1 2/m 1'
_space_group_IT_number 10
_cell_length_a 5.3452
_cell_length_b 4.7754
_cell_length_c 15.9156
_cell_angle_alpha 90.00
_cell_angle_beta 98.44
_cell_angle_gamma 90.00
loop_
_space_group_symop_operation_xyz
'x,y,z'
'-x,-y,-z'
'-x,y,-z'
'x,-y,z'
loop_
_atom_site_label
_atom_site_fract_x
_atom_site_fract_y
_atom_site_fract_z
Na1 0.1400 0.0000 0.2701
Ac1 0.0000 0.0000 0.0000
Ac2 0.3087 0.5000 0.6274
Pb1 0.0131 0.5000 0.8376
Pb2 0.2295 0.0000 0.4542
Pb3 0.4261 0.0000 0.8333
Pb4 0.5000 0.5000 0.0000
```



DFT (PBE-GGA) results for Na3AcPb3 after structural relaxation.

formation energy	-160	kJ/mol of formula units
offset from the most stable computed form	0.0000	eV per atom
magnetic moment	0.0	μB/f.u.
DOS(E_F)	0.40	states/eV/atom

The structure in CIF format:
```
data_Na3AcPb3
_chemical_formula_sum 'Na6 Ac2 Pb6'
_space_group_name_H-M_alt 'P 63/m'
_space_group_IT_number 176
_space_group_name_Hall '-P 6c'
_cell_length_a 10.6397
_cell_length_b 10.6397
_cell_length_c 4.8513
_cell_angle_alpha 90.00
_cell_angle_beta 90.00
_cell_angle_gamma 120.00
loop_
_atom_site_label
_atom_site_fract_x
_atom_site_fract_y
_atom_site_fract_z
Na1 0.0437 0.7771 0.2500
Ac1 0.3333 0.6667 0.7500
Pb1 0.0615 0.4559 0.2500
```



DFT (PBE-GGA) results for Na4Ac3Pb4 after structural relaxation.

formation energy	-333	kJ/mol of formula units
offset from the most stable computed form	0.0000	eV per atom
magnetic moment	0.0	μB/f.u.
DOS(E_F)	0.40	states/eV/atom

The structure in CIF format:
```
data_Na4Ac3Pb4
_chemical_formula_sum 'Na8 Ac6 Pb8'
_space_group_name_H-M_alt 'I m m m'
_space_group_IT_number 71
_space_group_name_Hall '-I 2 2'
_cell_length_a 5.1790
_cell_length_b 8.0918
_cell_length_c 17.0939
_cell_angle_alpha 90.00
_cell_angle_beta 90.00
_cell_angle_gamma 90.00
loop_
_atom_site_label
_atom_site_fract_x
_atom_site_fract_y
_atom_site_fract_z
Na1 0.0000 0.1932 0.1734
Ac1 0.0000 0.0000 0.3773
Ac2 0.0000 0.5000 0.5000
Pb1 0.0000 0.3053 0.0000
Pb2 0.0000 0.5000 0.2859
```